Entry 1:
{
  "formula": "YInSi",
  "functional": "PBE-GGA",
  "state": "optimized geometry",
  "cell": [[4.3229, 0.0000, 0.0000], [0.0000, 6.0074, 0.0000], [-2.1517, 0.0000, 5.1870]],
  "species": ["Y", "Y", "In", "In", "Si", "Si"],
  "fractional_positions": [[0.1895, 0.2500, 0.3799], [0.8105, 0.7500, 0.6201], [0.5000, 0.0000, 0.0000], [0.5000, 0.5000, 0.0000], [0.1169, 0.7500, 0.2333], [0.8831, 0.2500, 0.7667]],
  "n_ef_per_ev_atom": 0.301,
  "space_group": "P2_1/m, No. 11",
  "magmom_total_mub_per_fu": 0.0,
  "volume_a3_per_cell": 135,
  "formation_energy_uncorrected_ev_per_atom": -0.4530
}

***

Entry 2:
{
  "formula": "Y2InSi",
  "functional": "PBE-GGA",
  "state": "optimized geometry",
  "cell": [[2.2841, -2.7425, 0.0000], [2.2841, 2.7425, 0.0000], [0.0000, 0.0000, 8.2445]],
  "species": ["Y", "Y", "In", "Si"],
  "fractional_positions": [[0.0000, 0.0000, 0.0000], [0.5000, 0.5000, 0.3297], [0.0000, 0.0000, 0.5971], [0.5000, 0.5000, 0.7817]],
  "n_ef_per_ev_atom": 0.839,
  "space_group": "Cmm2, No. 35",
  "magmom_total_mub_per_fu": 0.0,
  "volume_a3_per_cell": 103,
  "formation_energy_uncorrected_ev_per_atom": -0.1518
}